[1]
PBE-GGA Ba2Al3Ga5, relaxed; E = -3.396 eV/atom; Fermi-level density of states = 5.7 states/eV per cell; DFT formation energy = -0.375 eV per atom; symmetry = Ibam (72)
1.0
6.077 0.000 2.299
2.568 8.394 2.392
0.031 0.018 9.098
Al Ga Ba
6 10 4
direct
0.750 0.000 0.000 Al
0.250 0.000 0.000 Al
0.372 0.505 0.752 Al
0.128 0.248 0.495 Al
0.628 0.495 0.248 Al
0.872 0.752 0.505 Al
0.621 0.744 0.015 Ga
0.990 0.760 0.760 Ga
0.010 0.240 0.240 Ga
0.121 0.015 0.744 Ga
0.250 0.500 0.500 Ga
0.510 0.240 0.240 Ga
0.879 0.985 0.256 Ga
0.379 0.256 0.985 Ga
0.750 0.500 0.500 Ga
0.490 0.760 0.760 Ga
0.374 0.869 0.382 Ba
0.626 0.131 0.618 Ba
0.126 0.618 0.131 Ba
0.874 0.382 0.869 Ba

[2]
PBE-GGA Ba3Al2Ga4, relaxed; E = -3.197 eV/atom; Fermi-level density of states = 4.8 states/eV per cell; DFT formation energy = -0.379 eV per atom; symmetry = C2/m (12)
1.0
-0.663 1.582 -4.128
6.352 -2.542 0.426
-6.196 -7.090 -1.721
Ba Al Ga
3 2 4
direct
0.000 0.000 0.000 Ba
0.395 0.790 0.324 Ba
0.605 0.210 0.676 Ba
0.317 0.634 0.696 Al
0.683 0.366 0.304 Al
0.731 0.461 0.055 Ga
0.855 0.710 0.575 Ga
0.269 0.539 0.945 Ga
0.145 0.290 0.425 Ga